Ti3RhC | Alexandria via LeMat-Bulk | PBE-GGA | optimized geometry; space group = Pm-3m (221); total energy = -33.03 eV per cell; energy above the lowest structure with this stoichiometry = 2126 meV per atom; E_form = 7.2 eV per formula unit
1.0
4.645 0.000 0.000
0.000 4.645 0.000
0.000 0.000 4.645
Ti Rh C
3 1 1
Direct
0.000 0.000 0.500
0.000 0.500 0.000
0.500 0.000 0.000
0.000 0.000 0.000
0.500 0.500 0.500